1.
# K2LiBrF6, optimized geometry, DFT PBE-GGA
# E = -0.13882 hartree per atom
# energy relative to the elements, uncorrected = -47.9 kcal/mol of atoms
# calculated volume = 16.3 A^3/atom
# total moment = 0.1 μB/f.u.
data_K2LiBrF6
_chemical_formula_sum 'K4 Li2 Br2 F12'
_space_group_name_H-M_alt 'P m m n'
_space_group_IT_number 59
_cell_length_a 6.5700
_cell_length_b 7.8320
_cell_length_c 6.3408
_cell_angle_alpha 90.00
_cell_angle_beta 90.00
_cell_angle_gamma 90.00
loop_
_space_group_symop_operation_xyz
'x,y,z'
'-x,-y,-z'
'-x+1/2,-y+1/2,z'
'x+1/2,y+1/2,-z'
'x+1/2,-y,-z'
'-x+1/2,y,z'
'-x,y+1/2,-z'
'x,-y+1/2,z'
loop_
_atom_site_label
_atom_site_fract_x
_atom_site_fract_y
_atom_site_fract_z
_atom_site_occupancy
K1 0.2500 0.0062 0.1366 1
Li1 0.2500 0.2500 0.7166 1
Br1 0.2500 0.7500 0.6228 1
F1 0.0233 0.2500 0.8977 1
F2 0.0430 0.2500 0.3822 1
F3 0.2500 0.5041 0.6254 1

---

2.
# K2MgBr3F, optimized geometry, DFT PBE-GGA
# E = -0.12996 hartree per atom
# energy relative to the elements, uncorrected = -46.4 kcal/mol of atoms
# calculated volume = 27.4 A^3/atom
# total moment = 0.0 μB/f.u.
data_K2MgBr3F
_chemical_formula_sum 'K4 Mg2 Br6 F2'
_space_group_name_H-M_alt 'I m m m'
_space_group_IT_number 71
_space_group_name_Hall '-I 2 2'
_cell_length_a 4.0287
_cell_length_b 5.4475
_cell_length_c 17.4723
_cell_angle_alpha 90.00
_cell_angle_beta 90.00
_cell_angle_gamma 90.00
loop_
_atom_site_label
_atom_site_fract_x
_atom_site_fract_y
_atom_site_fract_z
_atom_site_occupancy
K1 0.0000 0.0000 0.1501 1
Mg1 0.0000 0.0000 0.5000 1
Br1 0.0000 0.0000 0.3411 1
Br2 0.0000 0.5000 0.5000 1
F1 0.0000 0.5000 0.0000 1

---

3.
# K2MgBr2F2, optimized geometry, DFT PBE-GGA
# E = -0.14437 hartree per atom
# energy relative to the elements, uncorrected = -54.8 kcal/mol of atoms
# calculated volume = 22.5 A^3/atom
# total moment = 0.0 μB/f.u.
data_K2MgBr2F2
_chemical_formula_sum 'K4 Mg2 Br4 F4'
_space_group_name_H-M_alt 'I 4/m m m'
_space_group_IT_number 139
_space_group_name_Hall '-I 4 2'
_cell_length_a 4.3493
_cell_length_b 4.3493
_cell_length_c 16.6355
_cell_angle_alpha 90.00
_cell_angle_beta 90.00
_cell_angle_gamma 90.00
loop_
_atom_site_label
_atom_site_fract_x
_atom_site_fract_y
_atom_site_fract_z
_atom_site_occupancy
K1 0.0000 0.0000 0.1202 1
Mg1 0.0000 0.0000 0.5000 1
Br1 0.0000 0.0000 0.3392 1
F1 0.0000 0.5000 0.0000 1

---

What did the third record say?
# K2MgBr2F2, optimized geometry, DFT PBE-GGA
# E = -0.14437 hartree per atom
# energy relative to the elements, uncorrected = -54.8 kcal/mol of atoms
# calculated volume = 22.5 A^3/atom
# total moment = 0.0 μB/f.u.
data_K2MgBr2F2
_chemical_formula_sum 'K4 Mg2 Br4 F4'
_space_group_name_H-M_alt 'I 4/m m m'
_space_group_IT_number 139
_space_group_name_Hall '-I 4 2'
_cell_length_a 4.3493
_cell_length_b 4.3493
_cell_length_c 16.6355
_cell_angle_alpha 90.00
_cell_angle_beta 90.00
_cell_angle_gamma 90.00
loop_
_atom_site_label
_atom_site_fract_x
_atom_site_fract_y
_atom_site_fract_z
_atom_site_occupancy
K1 0.0000 0.0000 0.1202 1
Mg1 0.0000 0.0000 0.5000 1
Br1 0.0000 0.0000 0.3392 1
F1 0.0000 0.5000 0.0000 1

---

> Which of these has the lowest E?

K2MgBr2F2